## LiCa4Cd2 (PBE-GGA)

Data for a geometry-optimized LiCa4Cd2 structure.

## Properties
Crystal system: trigonal
Energy of formation: -115 kJ/mol of formula units

Cell lengths 5.4934, 5.4934, 9.1702 Å; angles 72.57, 72.57, 60.00 degrees
Last column: nearest neighbours and their distance in Å.
Atoms (fractional coordinates):
Cd: 0.7447 0.7447 0.7660  8 Ca 3.24-3.42
Cd: 0.2553 0.2553 0.2340  8 Ca 3.24-3.42
Ca: 0.1280 0.1280 0.6159  4 Cd 3.29-3.42, 1 Li 3.31
Ca: 0.6190 0.6190 0.1431  4 Cd 3.24-3.27, 3 Li 3.40
Ca: 0.8720 0.8720 0.3841  4 Cd 3.29-3.42, 1 Li 3.31
Ca: 0.3810 0.3810 0.8569  4 Cd 3.24-3.27, 3 Li 3.40
Li: 0.0000 0.0000 0.0000  8 Ca 3.31-3.40

## LuNpC (PBE-GGA)

Data for a geometry-optimized LuNpC structure.

## Properties
Crystal system: tetragonal
Energy of formation: 108 kJ/mol of formula units

Cell lengths 3.0786, 3.0786, 6.1070 Å; angles 104.60, 104.60, 90.00 degrees
Last column: nearest neighbours and their distance in Å.
Atoms (fractional coordinates):
Np: 0.7163 0.7163 0.4326  4 C 2.52, 1 Lu 2.73
Lu: 0.9557 0.9557 0.9115  4 C 2.62, 1 Np 2.73
C: 0.3280 0.3280 0.6559  4 Np 2.52, 4 Lu 2.62

## PrMg2H6 (PBE-GGA)

Data for a geometry-optimized PrMg2H6 structure.

## Properties
Crystal system: cubic
E: -2.671 eV/atom

Cell lengths 5.5280, 5.5280, 5.5280 Å; angles 60.00, 60.00, 60.00 degrees
Last column: nearest neighbours and their distance in Å.
Atoms (fractional coordinates):
H: 0.2818 0.7182 0.7182  1 Pr 2.20, 4 H 2.41
H: 0.2818 0.7182 0.2818  1 Pr 2.20, 4 H 2.41
H: 0.7182 0.7182 0.2818  1 Pr 2.20, 4 H 2.41
H: 0.7182 0.2818 0.7182  1 Pr 2.20, 4 H 2.41
H: 0.2818 0.2818 0.7182  1 Pr 2.20, 4 H 2.41
H: 0.7182 0.2818 0.2818  1 Pr 2.20, 4 H 2.41
Pr: 0.0000 0.0000 0.0000  6 H 2.20
Mg: 0.7500 0.7500 0.7500  12 H 2.78
Mg: 0.2500 0.2500 0.2500  12 H 2.78

## Cs2Zr4Cu (PBE-GGA)

Data for a geometry-optimized Cs2Zr4Cu structure.

## Properties
Crystal system: tetragonal
Energy of formation: 797 kJ/mol of formula units

Cell lengths 5.0988, 5.0988, 11.4194 Å; angles 77.10, 77.10, 90.00 degrees
Last column: nearest neighbours and their distance in Å.
Atoms (fractional coordinates):
Zr: 0.1089 0.1089 0.7823  1 Cu 2.36
Zr: 0.0000 0.5000 0.0000  2 Cu 2.55
Zr: 0.8911 0.8911 0.2177  1 Cu 2.36
Zr: 0.5000 0.0000 0.0000  2 Cu 2.55
Cs: 0.6777 0.6777 0.6446  4 Zr 3.90
Cs: 0.3223 0.3223 0.3554  4 Zr 3.90
Cu: 0.0000 0.0000 0.0000  6 Zr 2.36-2.55